# 1
DFT (GGA-PBEsol) results for crystalline MnZn5 at its relaxed geometry.

a = 9.9261 Å, b = 2.6463 Å, c = 6.3596 Å
α = 90.00°, β = 104.93°, γ = 90.00°
Space group Cm (No. 8)
Asymmetric unit:
Mn 0.0000 0.0000 0.0000
Zn 0.0555 0.0000 0.6182
Zn 0.1651 0.5000 0.3310
Zn 0.2209 0.5000 0.9485
Zn 0.3353 0.0000 0.6706
Zn 0.3923 0.0000 0.2703


# 2
DFT (GGA-PBEsol) results for crystalline MnZn5 at its relaxed geometry.

a = 3.7930 Å, b = 11.0996 Å, c = 3.8119 Å
α = 90.00°, β = 90.00°, γ = 90.00°
Space group Cmmm (No. 65)
Asymmetric unit:
Mn 0.0000 0.0000 0.0000
Zn 0.0000 0.1620 0.5000
Zn 0.0000 0.3322 0.0000
Zn 0.0000 0.5000 0.5000


no.,energy of formation (eV/atom)
1,0.035
2,0.007